Entry from the Alexandria database: a relaxed structure of CsNa2Zr (PBE-GGA).

a = 9.6411 Å, b = 9.6411 Å, c = 7.7360 Å
α = 51.45°, β = 51.45°, γ = 90.00°
Last column: nearest neighbours and their distance in Å.
Fractional positions:
Na (0.3750, 0.3988, 0.7500)  2 Zr 3.38, 2 Na 3.69, 2 Cs 3.69
Zr (0.2500, 0.7500, 0.5000)  4 Na 3.38, 2 Cs 3.66
Cs (0.7500, 0.2500, 0.5000)  2 Zr 3.66, 4 Na 3.69
Na (0.8750, 0.8512, 0.7500)  2 Zr 3.38, 2 Na 3.69, 2 Cs 3.69
Na (0.6012, 0.1250, 0.2500)  2 Zr 3.38, 2 Na 3.69, 2 Cs 3.69
Cs (0.0000, 0.0000, 0.0000)  2 Zr 3.66, 4 Na 3.69
Zr (0.5000, 0.5000, 0.0000)  4 Na 3.38, 2 Cs 3.66
Na (0.1488, 0.6250, 0.2500)  2 Zr 3.38, 2 Na 3.69, 2 Cs 3.69

Results
symmetry: No. 122
energy relative to the elements: 1.01 eV per atom

Entry from the Alexandria database: a relaxed structure of AlCl (PBE-GGA).

a = 3.3540 Å, b = 3.3540 Å, c = 4.3101 Å
α = 90.00°, β = 90.00°, γ = 120.00°
Last column: nearest neighbours and their distance in Å.
Fractional positions:
Cl (0.6667, 0.3333, 0.5000)  6 Al 2.90
Al (0.0000, 0.0000, 0.0000)  6 Cl 2.90

Results
symmetry: No. 187
formation energy without anion corrections: -0.269 eV/atom

Number 1: total magnetization 6.05 Bohr magnetons per cell. Number 2: total magnetization 0.00 Bohr magnetons per cell.